1.
The following is a DFT calculation (PBEsol) of crystalline BeZnBr2 at its relaxed geometry.

```
8
Lattice="-4.261 -3.861 3.174 0.664 -1.084 -6.444 6.336 -0.772 1.551" Properties=species:S:1:pos:R:3 pbc="T T T"
Be 2.787 -2.781 1.139
Be 3.500 -0.928 -2.447
Zn -0.049 -2.937 -2.858
Zn 0.000 0.000 0.000
Br -2.575 -3.976 -0.224
Br 3.563 -1.277 -0.272
Br 3.718 -2.937 -3.324
Br 0.771 -3.244 0.382
```

Results
Space-group type: I-42d
Energy relative to the elements, uncorrected (meV/atom): -275
Raw total energy (eV per atom): -2.6056
Total magnetization (μB per formula unit): 0.0
Energy above the most stable polymorph in this dataset (meV/atom): 35.7

=====

2.
The following is a DFT calculation (PBEsol) of crystalline La2MoI2 at its relaxed geometry.

```
5
Lattice="6.047 0.003 -0.004 -2.964 5.271 0.004 2.964 1.805 4.952" Properties=species:S:1:pos:R:3 pbc="T T T"
I 1.121 2.883 3.414
I -1.121 4.193 1.542
Mo 0.000 0.000 0.000
La 3.024 1.770 1.237
La 3.024 5.308 3.715
```

Results
Space-group type: I4/mmm
Energy relative to the elements, uncorrected (meV/atom): 51
Raw total energy (eV per atom): -5.1474
Total magnetization (μB per formula unit): 1.1

=====

3.
The following is a DFT calculation (PBEsol) of crystalline RbCuSb2H2Se4O at its relaxed geometry.

```
44
Lattice="-0.209 -3.516 -1.948 -4.630 -4.559 8.724 -18.868 5.172 -7.311" Properties=species:S:1:pos:R:3 pbc="T T T"
Rb -19.142 2.214 -4.023
Rb -8.728 -1.062 -3.385
Rb -14.980 -1.841 2.849
Rb -4.565 -5.117 3.487
Cu -15.631 0.998 -2.205
Cu -4.814 -1.881 -2.326
Cu -18.893 -1.022 1.790
Cu -8.076 -3.901 1.669
Sb -13.265 -1.705 -1.739
Sb -6.281 -1.323 0.981
Sb -14.717 0.591 -5.726
Sb -1.814 -0.649 -0.713
Sb -21.894 -2.254 0.177
Sb -8.990 -3.494 5.190
Sb -17.426 -1.580 -1.517
Sb -10.442 -1.198 1.203
H -3.257 -1.539 2.615
H -3.336 -2.865 1.880
H -11.596 0.470 -4.274
H -11.675 -0.856 -5.009
H -12.032 -2.047 4.473
H -12.111 -3.373 3.739
H -20.372 -0.038 -2.416
H -20.450 -1.365 -3.151
Se -16.943 -0.364 -3.764
Se -8.654 -2.730 -0.383
Se -11.109 0.067 -1.009
Se -4.487 -3.101 -0.160
Se -13.509 1.547 -3.422
Se -19.650 1.877 -7.518
Se -16.451 3.124 -5.953
Se -6.020 0.171 -1.743
Se -17.687 -3.074 1.207
Se -7.257 -6.027 5.417
Se -4.058 -4.780 6.983
Se -10.198 -4.450 2.886
Se -19.220 0.198 -0.376
Se -12.599 -2.970 0.473
Se -15.054 -0.173 -0.153
Se -6.764 -2.539 3.228
O -3.039 -2.500 2.758
O -11.017 -0.134 -4.813
O -12.690 -2.769 4.277
O -20.668 -0.403 -3.294
```

Results
Space-group type: Pnma
Raw total energy (eV per atom): -4.3999
Total magnetization (μB per formula unit): 0.0